The following is a DFT calculation (SCAN) of a PBEsol-optimized structure of BeAg2Ge.

Unit cell a=4.4071 b=4.4071 c=4.4071 alpha=60.00 beta=60.00 gamma=60.00
Fractional coordinates of all 4 atoms:
Be  0.0000  0.0000  0.0000
Ag  0.2500  0.2500  0.2500
Ag  0.7500  0.7500  0.7500
Ge  0.5000  0.5000  0.5000

M_tot, μB/cell: 0.00
Formation energy from the elements, eV/atom: 0.34
Space-group type: Fm-3m

The following is a DFT calculation (SCAN) of a PBEsol-optimized structure of ScNiAs3.

Unit cell a=4.5693 b=4.5693 c=4.5693 alpha=90.00 beta=90.00 gamma=90.00
Fractional coordinates of all 5 atoms:
Sc  0.0000  0.0000  0.0000
Ni  0.5000  0.5000  0.5000
As  0.0000  0.5000  0.5000
As  0.5000  0.0000  0.5000
As  0.5000  0.5000  0.0000

M_tot, μB/cell: 0.00
Formation energy from the elements, eV/atom: -0.03
Space-group type: Pm-3m

The following is a DFT calculation (SCAN) of a PBEsol-optimized structure of TcGeOF2.

Unit cell a=4.2279 b=4.2279 c=3.7082 alpha=90.00 beta=90.00 gamma=90.00
Fractional coordinates of all 5 atoms:
Tc  0.0000  0.0000  0.0000
Ge  0.5000  0.5000  0.5000
O  0.0000  0.0000  0.5000
F  0.0000  0.5000  0.0000
F  0.5000  0.0000  0.0000

M_tot, μB/cell: 0.00
Space-group type: P4/mmm
Uncorrected formation energy, kJ/mol of formula units: -473.4

The following is a DFT calculation (SCAN) of a PBEsol-optimized structure of YMn2Cu.

Unit cell a=8.8696 b=8.8696 c=8.8696 alpha=19.46 beta=19.46 gamma=19.46
Fractional coordinates of all 4 atoms:
Y  0.0000  0.0000  0.0000
Mn  0.2379  0.2379  0.2379
Mn  0.7621  0.7621  0.7621
Cu  0.5000  0.5000  0.5000

M_tot, μB/cell: 7.73
Formation energy from the elements, eV/atom: 0.31
Space-group type: R-3m
Polymorph energy (0 for the lowest one), kJ/mol of atoms: 26.7

The following is a DFT calculation (SCAN) of a PBEsol-optimized structure of SrSiCl3.

Unit cell a=5.4858 b=5.4858 c=5.4858 alpha=90.00 beta=90.00 gamma=90.00
Fractional coordinates of all 5 atoms:
Sr  0.0000  0.0000  0.0000
Si  0.5000  0.5000  0.5000
Cl  0.0000  0.0000  0.5000
Cl  0.0000  0.5000  0.0000
Cl  0.5000  0.0000  0.0000

M_tot, μB/cell: 1.00
Space-group type: Pm-3m
Uncorrected formation energy, kJ/mol of formula units: -449.6

The following is a DFT calculation (SCAN) of a PBEsol-optimized structure of Y2WCl.

Unit cell a=3.5159 b=3.5159 c=8.8028 alpha=99.56 beta=99.56 gamma=54.70
Fractional coordinates of all 4 atoms:
Y  0.2313  0.2313  0.2518
Y  0.7687  0.7687  0.7482
W  0.0000  0.0000  0.5000
Cl  0.5000  0.5000  0.0000

M_tot, μB/cell: 0.00
Space-group type: C2/m
Polymorph energy (0 for the lowest one), kJ/mol of atoms: 0.0
Uncorrected formation energy, kJ/mol of formula units: -123.7

The following is a DFT calculation (SCAN) of a PBEsol-optimized structure of YSc2Re.

Unit cell a=3.1100 b=4.5087 c=6.1794 alpha=90.00 beta=104.59 gamma=90.00
Fractional coordinates of all 4 atoms:
Y  0.0000  0.0000  0.0000
Sc  0.2760  0.5000  0.6827
Sc  0.6176  0.0000  0.4482
Re  0.7387  0.5000  0.2385

M_tot, μB/cell: 0.00
Formation energy from the elements, eV/atom: 0.17
Space-group type: Pm
Polymorph energy (0 for the lowest one), kJ/mol of atoms: 9.5

The following is a DFT calculation (SCAN) of a PBEsol-optimized structure of CrNi3.

Unit cell a=2.4421 b=3.5093 c=4.8739 alpha=90.00 beta=90.00 gamma=90.00
Fractional coordinates of all 4 atoms:
Cr  0.0000  0.0000  0.0000
Ni  0.0000  0.0000  0.5000
Ni  0.5000  0.5000  0.2478
Ni  0.5000  0.5000  0.7522

M_tot, μB/cell: 1.67
Formation energy from the elements, eV/atom: 0.05
Space-group type: Pmmm

The following is a DFT calculation (SCAN) of a PBEsol-optimized structure of Y2FeCo.

Unit cell a=7.2060 b=7.2060 c=7.2060 alpha=30.69 beta=30.69 gamma=30.69
Fractional coordinates of all 4 atoms:
Y  0.0000  0.0000  0.0000
Y  0.1802  0.1802  0.1802
Fe  0.4208  0.4208  0.4208
Co  0.7597  0.7597  0.7597

M_tot, μB/cell: 1.66
Formation energy from the elements, eV/atom: -0.08
Space-group type: R3m
Polymorph energy (0 for the lowest one), kJ/mol of atoms: 0.0

The following is a DFT calculation (SCAN) of a PBEsol-optimized structure of LiMnF3.

Unit cell a=9.9626 b=9.0672 c=5.7659 alpha=90.00 beta=90.00 gamma=90.00
Fractional coordinates of all 40 atoms:
Li  0.2051  0.0809  0.0448
Li  0.2051  0.9191  0.5448
Li  0.2949  0.4191  0.5448
Li  0.2949  0.5809  0.0448
Li  0.7051  0.4191  0.9552
Li  0.7051  0.5809  0.4552
Li  0.7949  0.0809  0.4552
Li  0.7949  0.9191  0.9552
Mn  0.0000  0.2148  0.7500
Mn  0.0000  0.4066  0.2500
Mn  0.0000  0.5934  0.7500
Mn  0.0000  0.7852  0.2500
Mn  0.5000  0.0934  0.7500
Mn  0.5000  0.2852  0.2500
Mn  0.5000  0.7148  0.7500
Mn  0.5000  0.9066  0.2500
F  0.1018  0.2529  0.0670
F  0.1018  0.7471  0.5670
F  0.1042  0.4121  0.5850
F  0.1042  0.5879  0.0850
F  0.1523  0.0670  0.7342
F  0.1523  0.9330  0.2342
F  0.3477  0.4330  0.2342
F  0.3477  0.5670  0.7342
F  0.3958  0.0879  0.0850
F  0.3958  0.9121  0.5850
F  0.3982  0.2471  0.5670
F  0.3982  0.7529  0.0670
F  0.6018  0.2471  0.9330
F  0.6018  0.7529  0.4330
F  0.6042  0.0879  0.4150
F  0.6042  0.9121  0.9150
F  0.6523  0.4330  0.2658
F  0.6523  0.5670  0.7658
F  0.8477  0.0670  0.7658
F  0.8477  0.9330  0.2658
F  0.8958  0.4121  0.9150
F  0.8958  0.5879  0.4150
F  0.8982  0.2529  0.4330
F  0.8982  0.7471  0.9330

M_tot, μB/cell: 40.00
Space-group type: Pbcn
Polymorph energy (0 for the lowest one), kJ/mol of atoms: 5.2
Uncorrected formation energy, kJ/mol of formula units: -1410.8

The following is a DFT calculation (SCAN) of a PBEsol-optimized structure of BaV2P4O14.

Unit cell a=7.4633 b=7.4633 c=9.7767 alpha=99.33 beta=99.33 gamma=89.28
Fractional coordinates of all 42 atoms:
Ba  0.0000  0.5000  0.0000
Ba  0.5000  0.0000  0.5000
V  0.0000  0.0000  0.0000
V  0.0000  0.0000  0.5000
V  0.4520  0.5480  0.7500
V  0.5480  0.4520  0.2500
P  0.1788  0.2598  0.2975
P  0.2522  0.6266  0.4433
P  0.2598  0.1788  0.7975
P  0.3734  0.7478  0.0567
P  0.6266  0.2522  0.9433
P  0.7402  0.8212  0.2025
P  0.7478  0.3734  0.5567
P  0.8212  0.7402  0.7025
O  0.0527  0.2101  0.1577
O  0.1256  0.4705  0.3422
O  0.1430  0.1529  0.4096
O  0.1529  0.1430  0.9096
O  0.1528  0.8014  0.4221
O  0.1986  0.8472  0.0779
O  0.2101  0.0527  0.6577
O  0.2596  0.3823  0.7924
O  0.2718  0.5925  0.5943
O  0.3685  0.5648  0.1098
O  0.3823  0.2596  0.2924
O  0.4075  0.7282  0.9057
O  0.4352  0.6315  0.3902
O  0.4705  0.1256  0.8422
O  0.5295  0.8744  0.1578
O  0.5648  0.3685  0.6098
O  0.5925  0.2718  0.0943
O  0.6177  0.7404  0.7076
O  0.6315  0.4352  0.8902
O  0.7282  0.4075  0.4057
O  0.7404  0.6177  0.2076
O  0.7899  0.9473  0.3423
O  0.8014  0.1528  0.9221
O  0.8472  0.1986  0.5779
O  0.8471  0.8570  0.0904
O  0.8570  0.8471  0.5904
O  0.8744  0.5295  0.6579
O  0.9473  0.7899  0.8423

M_tot, μB/cell: 8.00
Space-group type: C2/c
Polymorph energy (0 for the lowest one), kJ/mol of atoms: 0.4
Uncorrected formation energy, kJ/mol of formula units: -5488.1

The following is a DFT calculation (SCAN) of a PBEsol-optimized structure of CaY2Co.

Unit cell a=4.9106 b=4.9106 c=3.9293 alpha=90.00 beta=90.00 gamma=90.00
Fractional coordinates of all 4 atoms:
Ca  0.0000  0.0000  0.0000
Y  0.0000  0.5000  0.5000
Y  0.5000  0.0000  0.5000
Co  0.5000  0.5000  0.0000

M_tot, μB/cell: 1.19
Formation energy from the elements, eV/atom: 0.32
Space-group type: P4/mmm
Polymorph energy (0 for the lowest one), kJ/mol of atoms: 39.8